A plane-wave DFT calculation with GGA-PBE was carried out for a relaxed structure of Tm8OsRu2.

Unit cell a=4.7976 b=6.7685 c=8.8671 alpha=107.46 beta=105.70 gamma=90.00
Fractional coordinates of all 11 atoms:
Tm1 0.4041 0.5505 0.8081
Tm2 0.6669 0.9620 0.3338
Tm3 0.7972 0.6883 0.5944
Tm4 0.9699 0.2051 0.9399
Tm5 0.2028 0.3117 0.4056
Tm6 0.3331 0.0380 0.6662
Tm7 0.5959 0.4495 0.1919
Tm8 0.0301 0.7949 0.0601
Os1 0.5000 0.0000 0.0000
Ru1 0.8161 0.3045 0.6323
Ru2 0.1839 0.6955 0.3677

**Polymorph energy (0 for the lowest one)**: 0.000 eV per atom
**Total energy**: -6.27 eV/atom
**ΔE_f**: -312 meV per atom

A plane-wave DFT calculation with GGA-PBE was carried out for a relaxed structure of Ce3SbS6.

Unit cell a=6.9146 b=8.6846 c=8.6846 alpha=102.83 beta=90.00 gamma=90.00
Site moments in Bohr magnetons follow the coordinates.
Fractional coordinates of all 20 atoms:
Ce1 0.4854 0.9165 0.7123  0.82
Ce2 0.9854 0.7123 0.9165  0.82
Ce3 0.3891 0.3997 0.6003  0.72
Ce4 0.8891 0.6003 0.3997  0.72
Ce5 0.9854 0.0835 0.2877  0.82
Ce6 0.4854 0.2877 0.0835  0.82
Sb1 0.9886 0.1667 0.8333  0.05
Sb2 0.4886 0.8333 0.1667  0.05
S1 0.1867 0.6901 0.6342  -0.03
S2 0.6867 0.6342 0.6901  -0.03
S3 0.1977 0.4294 0.9003  -0.01
S4 0.6977 0.9003 0.4294  -0.01
S5 0.2404 0.0091 0.9909  -0.02
S6 0.6279 0.2314 0.7686  -0.02
S7 0.1279 0.7686 0.2314  -0.02
S8 0.7404 0.9909 0.0091  -0.02
S9 0.1977 0.0997 0.5706  -0.01
S10 0.6977 0.5706 0.0997  -0.01
S11 0.1867 0.3658 0.3099  -0.03
S12 0.6867 0.3099 0.3658  -0.03

**ΔE_f (raw)**: -15.3 eV/f.u.
**Total energy**: -6.20 eV/atom

A plane-wave DFT calculation with GGA-PBE was carried out for a relaxed structure of KMnBr4.

Unit cell a=5.3100 b=11.5191 c=9.6121 alpha=114.33 beta=90.00 gamma=103.33
Site moments in Bohr magnetons follow the coordinates.
Fractional coordinates of all 12 atoms:
K1 0.2505 0.5010 0.2495  0.00
K2 0.7495 0.4990 0.7505  0.00
Mn1 0.0929 0.1859 0.5934  3.75
Mn2 0.9071 0.8141 0.4066  3.75
Br1 0.0007 0.0014 0.3241  -0.03
Br2 0.1775 0.3549 0.8646  -0.01
Br3 0.8214 0.6427 0.5069  -0.01
Br4 0.5919 0.1837 0.5923  0.03
Br5 0.4081 0.8163 0.4077  0.03
Br6 0.1786 0.3573 0.4931  -0.01
Br7 0.8225 0.6451 0.1354  -0.01
Br8 0.9993 0.9986 0.6759  -0.03

**ΔE_f (raw)**: -5.9 eV/f.u.
**Polymorph energy (0 for the lowest one)**: 0.032 eV per atom
**Total energy**: -3.80 eV/atom

no.,calculated volume (Å³ per cell)
1,263
2,508
3,518